(1)
Rb2PtCl | Alexandria | SCAN | single point on PBEsol structure; ρ = 5.65 Mg/m³; SG = I-42d (122); raw formation energy = -1.63 eV/f.u.
1.0
-2.493 -1.961 6.130
4.069 -5.334 -1.623
2.026 6.464 1.321
Rb Pt Cl
4 2 2
direct
0.992 0.617 0.125
0.008 0.133 0.625
0.508 0.375 0.383
0.492 0.875 0.867
0.000 0.000 0.000
0.500 0.750 0.250
0.000 0.500 0.500
0.500 0.250 0.750


(2)
BeRu | Alexandria | SCAN | single point on PBEsol structure; ρ = 7.08 Mg/m³; energy relative to the elements = 87 kJ/mol of formula units; SG = P6_3/mmc (194)
1.0
3.718 0.000 0.000
-1.859 3.220 0.000
0.000 0.000 4.314
Ru Be
2 2
direct
0.667 0.333 0.750
0.333 0.667 0.250
0.667 0.333 0.250
0.333 0.667 0.750


(3)
MoW2Br | Alexandria | SCAN | single point on PBEsol structure; ρ = 13.53 Mg/m³; SG = Cmmm (65); relative energy among the computed polymorphs = 0.0000 eV/atom; raw formation energy = 3.29 eV/f.u.
1.0
-2.574 0.990 0.701
1.351 -1.259 2.165
3.653 7.870 2.297
Mo Br W
1 1 2
direct
0.500 0.500 0.000
0.500 0.500 0.500
0.000 0.000 0.235
0.000 0.000 0.765


(4)
Sm2NbInO7 | Alexandria | SCAN | single point on PBEsol structure; ρ = 7.06 Mg/m³; SG = Imma (74); raw formation energy = -33.80 eV/f.u.
1.0
7.314 0.000 0.000
3.657 6.489 -0.005
3.657 2.071 6.150
Sm Nb In O
4 2 2 14
direct
0.000 0.500 0.000
0.500 0.500 0.000
0.500 0.500 0.500
0.500 0.000 0.000
0.000 0.000 0.000
0.000 0.500 0.500
0.500 0.000 0.500
0.000 0.000 0.500
0.373 0.377 0.877
0.627 0.623 0.123
0.936 0.314 0.814
0.352 0.898 0.398
0.922 0.350 0.400
0.328 0.900 0.850
0.328 0.350 0.400
0.922 0.900 0.850
0.064 0.686 0.186
0.648 0.102 0.602
0.078 0.650 0.600
0.672 0.100 0.150
0.672 0.650 0.600
0.078 0.100 0.150